1.
DFT (PBE) results for a relaxed Tb2PuUSb4 crystal.

extended XYZ file:
```
8
Lattice="7.584 0.000 0.000 0.000 4.383 0.000 -2.527 0.000 7.256" Properties=species:S:1:pos:R:3 pbc="T T T"
Tb 0.000 0.000 0.000
Tb 3.792 2.191 0.000
Pu -1.263 2.191 3.628
U 2.529 0.000 3.628
Sb 0.017 0.000 5.440
Sb 1.278 2.191 1.815
Sb 5.040 0.000 1.816
Sb 3.779 2.191 5.441
```

Output
- Formation energy without anion corrections: -773 meV/atom
- D(E_F): 17.8 states/eV/f.u.
- Final energy: -57.55 eV per cell


2.
DFT (PBE) results for a relaxed SrCrRh3 crystal.

extended XYZ file:
```
5
Lattice="4.590 0.000 0.000 0.000 4.590 0.000 0.000 0.000 4.590" Properties=species:S:1:pos:R:3 pbc="T T T"
Sr 0.000 0.000 0.000
Cr 2.295 2.295 2.295
Rh 0.000 2.295 2.295
Rh 2.295 0.000 2.295
Rh 2.295 2.295 0.000
```

Output
- D(E_F): 3.5 states/eV/f.u.
- Polymorph energy (0 for the lowest one): 0.00 eV/f.u.
- Final energy: -32.36 eV per cell